(1)
{
  "formula": "Sr2PdAu7",
  "functional": "PBE",
  "state": "optimized geometry",
  "ef_mev_per_atom": -467,
  "dft_energy_ev_per_atom": -3.6164,
  "cell": [[4.2236, 0.0000, 0.0000], [0.0000, 4.2236, 0.0000], [0.0000, 0.0000, 12.7675]],
  "species": ["Sr", "Sr", "Pd", "Au", "Au", "Au", "Au", "Au", "Au", "Au"],
  "fractional_positions": [[0.0000, 0.5000, 0.2421], [0.5000, 0.0000, 0.7579], [0.5000, 0.5000, 0.0000], [0.5000, 0.0000, 0.1427], [0.0000, 0.0000, 0.0000], [0.0000, 0.5000, 0.6477], [0.5000, 0.0000, 0.3523], [0.0000, 0.5000, 0.8573], [0.5000, 0.5000, 0.5000], [0.0000, 0.0000, 0.5000]]
}

=====

(2)
{
  "formula": "Ac9LaPr2",
  "functional": "PBE",
  "state": "optimized geometry",
  "ef_mev_per_atom": 15,
  "dft_energy_ev_per_atom": -4.2731,
  "cell": [[5.5495, 0.0000, 0.0000], [0.0000, 5.5495, 0.0000], [0.0000, 0.0000, 16.6487]],
  "species": ["Pr", "Pr", "Ac", "Ac", "Ac", "Ac", "Ac", "Ac", "Ac", "Ac", "Ac", "La"],
  "fractional_positions": [[0.0000, 0.0000, 0.3335], [0.0000, 0.0000, 0.6665], [0.5000, 0.5000, 0.3339], [0.0000, 0.5000, 0.1674], [0.5000, 0.5000, 0.6661], [0.5000, 0.0000, 0.5000], [0.0000, 0.5000, 0.5000], [0.5000, 0.0000, 0.8326], [0.5000, 0.0000, 0.1674], [0.5000, 0.5000, 0.0000], [0.0000, 0.5000, 0.8326], [0.0000, 0.0000, 0.0000]]
}

=====

(3)
{
  "formula": "AlSi2W",
  "functional": "PBE",
  "state": "optimized geometry",
  "formation_energy_uncorrected_ev_per_fu": 0.21,
  "dft_energy_ev_per_atom": -6.8340,
  "cell": [[-4.2535, 0.9679, 1.8343], [-2.3202, -4.0854, 0.5653], [4.0588, 1.9619, 1.4388]],
  "species": ["W", "Si", "Si", "Al"],
  "fractional_positions": [[0.7500, 0.2500, 0.5000], [0.4923, 0.4923, 0.0000], [0.0077, 0.0077, 0.0000], [0.2500, 0.7500, 0.5000]]
}

=====

(4)
{
  "formula": "Sc6Tl5Rh",
  "functional": "PBE",
  "state": "optimized geometry",
  "ef_mev_per_atom": -350,
  "dft_energy_ev_per_atom": -5.1141,
  "cell": [[-4.1136, 0.7816, -2.8142], [4.0039, 2.9324, -5.0415], [0.9608, -8.5817, 0.7359]],
  "species": ["Sc", "Sc", "Sc", "Sc", "Sc", "Sc", "Rh", "Tl", "Tl", "Tl", "Tl", "Tl"],
  "fractional_positions": [[0.1540, 0.9216, 0.3081], [0.8460, 0.0784, 0.6919], [0.1541, 0.3865, 0.3081], [0.5001, 0.2268, 0.0000], [0.8459, 0.6135, 0.6919], [0.4999, 0.7732, 0.0000], [0.0000, 0.0000, 0.0000], [0.6655, 0.6655, 0.3310], [0.0000, 0.5000, 0.0000], [0.6770, 0.1771, 0.3541], [0.3230, 0.8230, 0.6459], [0.3345, 0.3345, 0.6690]]
}

=====

(5)
{
  "formula": "In3GaPb4",
  "functional": "PBE",
  "state": "optimized geometry",
  "ef_mev_per_atom": 42,
  "dft_energy_ev_per_atom": -3.2174,
  "cell": [[-1.0513, -3.4510, -0.1292], [3.4532, -1.0489, -0.0818], [0.1977, -0.7179, 17.5613]],
  "species": ["Pb", "Pb", "Pb", "Pb", "In", "In", "In", "Ga"],
  "fractional_positions": [[0.0000, 0.0000, 0.6266], [0.0000, 0.0000, 0.1096], [0.0000, 0.0000, 0.8904], [0.0000, 0.0000, 0.3734], [0.5000, 0.5000, 0.7578], [0.5000, 0.5000, 0.5000], [0.5000, 0.5000, 0.2422], [0.5000, 0.5000, 0.0000]]
}

=====

(6)
{
  "formula": "NaAc3Nd4Te8",
  "functional": "PBE",
  "state": "optimized geometry",
  "formation_energy_uncorrected_ev_per_fu": -22.87,
  "dft_energy_ev_per_atom": -5.0449,
  "cell": [[-3.7971, 2.7813, 7.8664], [-0.4428, -8.7677, 2.8862], [8.0317, 3.4977, -2.7010]],
  "species": ["Te", "Te", "Te", "Te", "Te", "Te", "Te", "Te", "Nd", "Nd", "Nd", "Nd", "Ac", "Ac", "Ac", "Na"],
  "fractional_positions": [[0.2495, 0.7589, 0.0094], [0.2402, 0.2411, 0.9906], [0.2496, 0.7589, 0.4991], [0.7548, 0.7643, 0.5095], [0.7598, 0.7589, 0.0094], [0.7504, 0.2411, 0.5009], [0.2452, 0.2357, 0.4905], [0.7505, 0.2411, 0.9906], [0.0000, 0.0000, 0.0000], [0.5000, 0.0000, 0.5000], [0.5000, 0.0000, 0.0000], [0.0000, 0.0000, 0.5000], [0.5000, 0.5000, 0.0000], [0.5000, 0.5000, 0.5000], [0.0000, 0.5000, 0.5000], [0.0000, 0.5000, 0.0000]]
}

=====

(7)
{
  "formula": "Sc2TiSbN",
  "functional": "PBE",
  "state": "optimized geometry",
  "formation_energy_uncorrected_ev_per_fu": -5.24,
  "dft_energy_ev_per_atom": -7.6496,
  "cell": [[4.5403, 0.0000, 0.0000], [0.0000, 4.5403, 0.0000], [0.0000, 0.0000, 4.0986]],
  "species": ["N", "Ti", "Sc", "Sc", "Sb"],
  "fractional_positions": [[0.0000, 0.0000, 0.0000], [0.0000, 0.0000, 0.5000], [0.5000, 0.0000, 0.0000], [0.0000, 0.5000, 0.0000], [0.5000, 0.5000, 0.5000]]
}

=====

(8)
{
  "formula": "CePmPrSm",
  "functional": "PBE",
  "state": "optimized geometry",
  "ef_mev_per_atom": 204,
  "dft_energy_ev_per_atom": -4.8423,
  "cell": [[5.7911, 0.0000, 0.0000], [2.8956, 5.0153, 0.0000], [2.8956, 1.6718, 4.7284]],
  "species": ["Ce", "Pm", "Sm", "Pr"],
  "fractional_positions": [[0.7500, 0.7500, 0.7500], [0.0000, 0.0000, 0.0000], [0.2500, 0.2500, 0.2500], [0.5000, 0.5000, 0.5000]]
}

=====

(9)
{
  "formula": "Y3MgCd2",
  "functional": "PBE",
  "state": "optimized geometry",
  "ef_mev_per_atom": -273,
  "dft_energy_ev_per_atom": -4.0762,
  "de_polymorph_ev_per_atom": 0.0054,
  "cell": [[-0.6221, 3.6199, -0.8786], [-3.6847, -0.4674, 0.6834], [1.6256, 2.8855, 10.7375]],
  "species": ["Y", "Y", "Y", "Cd", "Cd", "Mg"],
  "fractional_positions": [[0.0000, 0.0000, 0.3309], [0.0000, 0.0000, 0.6691], [0.0000, 0.0000, 0.0000], [0.5000, 0.5000, 0.8313], [0.5000, 0.5000, 0.1687], [0.5000, 0.5000, 0.5000]]
}

=====

(10)
{
  "formula": "Li3Tm3PdO8",
  "functional": "PBE",
  "state": "optimized geometry",
  "formation_energy_uncorrected_ev_per_fu": -36.56,
  "dft_energy_ev_per_atom": -6.7048,
  "cell": [[6.5237, 0.0000, 0.0000], [-3.2619, 5.6491, -0.0198], [0.0000, -3.7500, 4.9736]],
  "species": ["O", "O", "O", "O", "O", "O", "O", "O", "Li", "Li", "Li", "Pd", "Tm", "Tm", "Tm"],
  "fractional_positions": [[0.7430, 0.4860, 0.7289], [0.2305, 0.9991, 0.7295], [0.7695, 0.0009, 0.2705], [0.2314, 0.0009, 0.2705], [0.7695, 0.5390, 0.2705], [0.7686, 0.9991, 0.7295], [0.2570, 0.5140, 0.2711], [0.2305, 0.4610, 0.7296], [0.0000, 0.5000, 0.0000], [0.0000, 0.0000, 0.0000], [0.5000, 0.5000, 0.0000], [0.0000, 0.0000, 0.5000], [0.5000, 0.0000, 0.5000], [0.5000, 0.5000, 0.5000], [0.0000, 0.5000, 0.5000]]
}

=====

(11)
{
  "formula": "Rb2MoBr6N",
  "functional": "PBE",
  "state": "optimized geometry",
  "formation_energy_uncorrected_ev_per_fu": -4.39,
  "dft_energy_ev_per_atom": -3.5518,
  "cell": [[8.3696, 0.0000, 0.0000], [0.0000, 8.3696, 0.0000], [4.1848, 4.1848, 4.7490]],
  "species": ["Br", "Br", "Br", "Br", "Br", "Br", "N", "Rb", "Rb", "Mo"],
  "fractional_positions": [[0.7238, 0.7238, 0.5524], [0.7808, 0.7808, 0.0000], [0.2192, 0.7808, 0.0000], [0.2762, 0.2762, 0.4476], [0.2192, 0.2192, 0.0000], [0.7808, 0.2192, 0.0000], [0.5000, 0.5000, 0.0000], [0.2500, 0.7500, 0.5000], [0.7500, 0.2500, 0.5000], [0.0000, 0.0000, 0.0000]]
}

=====

(12)
{
  "formula": "CaY",
  "functional": "PBE",
  "state": "optimized geometry",
  "ef_mev_per_atom": 50,
  "dft_energy_ev_per_atom": -4.1824,
  "de_polymorph_ev_per_atom": 0.0023,
  "cell": [[3.7103, 0.0000, 0.0000], [-1.8551, 3.2132, 0.0000], [0.0000, 0.0000, 12.2632]],
  "species": ["Y", "Y", "Ca", "Ca"],
  "fractional_positions": [[0.6667, 0.3333, 0.7372], [0.0000, 0.0000, 0.5128], [0.6667, 0.3333, 0.2605], [0.0000, 0.0000, 0.9895]]
}